(1)
Density functional theory data (meta-GGA SCAN) for a crystal of Tc3BN relaxed with PBEsol. Values from VASP.

Summary:
Space-group type   No. 221

```
&SYSTEM
  ibrav = 0, nat = 5, ntyp = 3
/
ATOMIC_SPECIES
Tc 98.00 Tc.upf
N 14.01 N.upf
B 10.81 B.upf
CELL_PARAMETERS angstrom
-0.983 -1.310 3.636
-1.183 -3.470 -1.570
3.680 -1.465 0.467
ATOMIC_POSITIONS angstrom
Tc -0.492 -0.655 1.818
Tc 1.840 -0.733 0.234
Tc -0.591 -1.735 -0.785
N 0.757 -3.123 1.267
B 0.000 0.000 0.000
```

***

(2)
Density functional theory data (meta-GGA SCAN) for a crystal of TlTc2BN relaxed with PBEsol. Values from VASP.

Summary:
Space-group type   No. 123

```
&SYSTEM
  ibrav = 0, nat = 5, ntyp = 4
/
ATOMIC_SPECIES
N 14.01 N.upf
Tc 98.00 Tc.upf
B 10.81 B.upf
Tl 204.38 Tl.upf
CELL_PARAMETERS angstrom
-2.104 2.059 -0.563
-3.239 -2.864 1.628
0.581 1.751 4.236
ATOMIC_POSITIONS angstrom
N -1.052 1.030 -0.281
Tc -1.620 -1.432 0.814
B 0.000 0.000 0.000
Tc 0.290 0.876 2.118
Tl -2.381 0.473 2.650
```

***

(3)
Density functional theory data (meta-GGA SCAN) for a crystal of BTe2N2 relaxed with PBEsol. Values from VASP.

Summary:
Space-group type   No. 123

```
&SYSTEM
  ibrav = 0, nat = 5, ntyp = 3
/
ATOMIC_SPECIES
N 14.01 N.upf
B 10.81 B.upf
Te 127.60 Te.upf
CELL_PARAMETERS angstrom
3.937 0.000 0.000
0.000 3.937 0.000
0.000 0.000 4.508
ATOMIC_POSITIONS angstrom
N 1.969 0.000 0.000
N 0.000 1.969 0.000
B 0.000 0.000 0.000
Te 1.969 1.969 2.254
Te 0.000 0.000 2.254
```

***

(4)
Density functional theory data (meta-GGA SCAN) for a crystal of BTeN3 relaxed with PBEsol. Values from VASP.

Summary:
Space-group type   No. 221

```
&SYSTEM
  ibrav = 0, nat = 5, ntyp = 3
/
ATOMIC_SPECIES
N 14.01 N.upf
Te 127.60 Te.upf
B 10.81 B.upf
CELL_PARAMETERS angstrom
-0.655 2.543 -2.325
-1.760 -2.281 -2.000
-2.962 0.794 1.702
ATOMIC_POSITIONS angstrom
N -0.327 1.272 -1.163
Te -2.689 0.528 -1.311
N -1.481 0.397 0.851
B 0.000 0.000 0.000
N -0.880 -1.141 -1.000
```

***

(5)
Density functional theory data (meta-GGA SCAN) for a crystal of BTeN2 relaxed with PBEsol. Values from VASP.

Summary:
Space-group type   No. 225

```
&SYSTEM
  ibrav = 0, nat = 4, ntyp = 3
/
ATOMIC_SPECIES
N 14.01 N.upf
B 10.81 B.upf
Te 127.60 Te.upf
CELL_PARAMETERS angstrom
-0.120 -1.663 -3.472
3.244 -0.472 -2.022
1.464 -3.528 -0.497
ATOMIC_POSITIONS angstrom
N 3.441 -4.247 -4.493
B 0.000 0.000 0.000
Te 2.294 -2.831 -2.995
N 1.147 -1.416 -1.498
```

***

(6)
Density functional theory data (meta-GGA SCAN) for a crystal of BTeN3 relaxed with PBEsol. Values from VASP.

Summary:
Space-group type   No. 221

```
&SYSTEM
  ibrav = 0, nat = 5, ntyp = 3
/
ATOMIC_SPECIES
Te 127.60 Te.upf
B 10.81 B.upf
N 14.01 N.upf
CELL_PARAMETERS angstrom
-0.468 3.255 -2.179
1.541 -1.864 -3.117
-3.601 -1.221 -1.050
ATOMIC_POSITIONS angstrom
Te 0.000 0.000 0.000
B -1.264 0.085 -3.173
N 0.770 -0.932 -1.558
N -1.801 -0.610 -0.525
N -0.234 1.628 -1.089
```

***

(7)
Density functional theory data (meta-GGA SCAN) for a crystal of UBN relaxed with PBEsol. Values from VASP.

Summary:
Space-group type   No. 63

```
&SYSTEM
  ibrav = 0, nat = 6, ntyp = 3
/
ATOMIC_SPECIES
N 14.01 N.upf
B 10.81 B.upf
U 238.03 U.upf
CELL_PARAMETERS angstrom
-2.152 0.111 -2.387
-2.320 -1.752 2.011
-3.199 4.207 3.080
ATOMIC_POSITIONS angstrom
N -2.362 0.806 1.084
B -5.836 3.072 2.156
U -4.493 -0.275 0.789
N -5.310 1.760 1.620
B -1.835 -0.507 0.548
U -3.178 2.841 1.915
```

***

(8)
Density functional theory data (meta-GGA SCAN) for a crystal of BW3N relaxed with PBEsol. Values from VASP.

Summary:
Space-group type   No. 221
Relative energy among the computed polymorphs   0.0 meV per atom

```
&SYSTEM
  ibrav = 0, nat = 5, ntyp = 3
/
ATOMIC_SPECIES
N 14.01 N.upf
B 10.81 B.upf
W 183.84 W.upf
CELL_PARAMETERS angstrom
3.989 0.000 0.000
0.000 3.989 0.000
0.000 0.000 3.989
ATOMIC_POSITIONS angstrom
N 0.000 0.000 0.000
B 1.994 1.994 1.994
W 1.994 0.000 0.000
W 0.000 0.000 1.994
W 0.000 1.994 0.000
```

***

Number 1: raw formation energy 1.422 eV per atom. Number 2: raw formation energy 1.066 eV per atom. Number 3: raw formation energy 1.874 eV per atom. Number 4: raw formation energy 1.563 eV per atom. Number 5: raw formation energy 2.346 eV per atom. Number 6: raw formation energy 2.615 eV per atom. Number 7: raw formation energy -1.064 eV per atom. Number 8: raw formation energy 0.757 eV per atom.